First-principles (GGA-PBE) data for a relaxed ZrReMo2 crystal, as listed in Alexandria via LeMat-Bulk.

a b c (Å): 5.3571 5.3571 5.3571
angles (deg): 145.03 129.42 62.97
With the nearest neighbours (Å) after each atom.
Fractional coordinates of all 4 atoms:
Zr1 0.0000 0.0000 0.0000  6 Mo 2.80-2.86, 2 Re 2.85
Re1 0.7428 0.2428 0.5000  6 Mo 2.73-2.80, 2 Zr 2.85
Mo1 0.2582 0.7582 0.5000  2 Mo 2.74, 4 Re 2.80, 2 Zr 2.86
Mo2 0.5015 0.5015 0.0000  2 Re 2.73, 2 Mo 2.74, 4 Zr 2.80

## Properties
- energy of formation from the pure elements (eV per atom) = -0.068
- E (eV per atom) = -10.733
- relative energy among the computed polymorphs (meV/atom) = 27.1